1) The following is a GGA-PBE calculation of crystalline MgIn6Pb2 at its relaxed geometry, from the Alexandria database.

Density of states at the Fermi level = 15.56 states/eV/cell

Lattice parameters (Å, degrees): 12.3584 11.3542 8.7228 90.00 125.87 90.00
Closest atoms and distances in Å follow each position.
Space group C2/c (No. 15)
One atom of each set of equivalent atoms:
Mg 0.0000 0.1529 0.2500 x4  6 In 3.25-3.44, 4 Pb 3.25
In 0.0343 0.3726 0.9577 x8  5 In 3.12-3.46, 3 Pb 3.34-3.42
In 0.1033 0.0942 0.6907 x8  2 Mg 3.25-3.33, 7 In 3.27-3.49, 1 Pb 3.32
In 0.2203 0.1529 0.1301 x8  6 In 3.12-3.38, 2 Pb 3.36-3.37, 1 Mg 3.44
Pb 0.1841 0.3882 0.4235 x8  2 Mg 3.25, 6 In 3.32-3.42, 1 Pb 3.43


2) The following is a GGA-PBE calculation of crystalline MgIn6Pb2 at its relaxed geometry, from the Alexandria database.

Density of states at the Fermi level = 4.36 states/eV/cell

Lattice parameters (Å, degrees): 9.4068 9.4068 3.2970 90.00 90.00 120.00
Closest atoms and distances in Å follow each position.
Space group P-31m (No. 162)
One atom of each set of equivalent atoms:
Mg 0.0000 0.0000 0.0000 x1  6 In 3.12, 2 Mg 3.30
In 0.0000 0.3220 0.7695 x6  1 Mg 3.12, 4 In 3.30-3.39, 2 Pb 3.31
Pb 0.3333 0.6667 0.5000 x2  2 Pb 3.30, 6 In 3.31


Most stable one: 1), least stable one: 2).


1) The following is a GGA-PBE calculation of crystalline MgIn3Pb2 at its relaxed geometry, from the Alexandria database.

Density of states at the Fermi level = 4.09 states/eV/cell

Lattice parameters (Å, degrees): 5.4855 17.0652 3.5855 90.00 90.00 90.00
Closest atoms and distances in Å follow each position.
Space group Cmmm (No. 65)
One atom of each set of equivalent atoms:
Mg 0.0000 0.0000 0.0000 x2  4 Pb 3.19, 4 In 3.28
In 0.0000 0.3315 0.0000 x4  6 Pb 3.29-3.51, 4 In 3.39-3.59
In 0.0000 0.5000 0.5000 x2  4 Mg 3.28, 6 In 3.39-3.59
Pb 0.0000 0.1548 0.5000 x4  2 Mg 3.19, 6 In 3.29-3.51


2) The following is a GGA-PBE calculation of crystalline MgIn3Pb2 at its relaxed geometry, from the Alexandria database.

Density of states at the Fermi level = 2.90 states/eV/cell

Lattice parameters (Å, degrees): 3.4574 5.2349 9.3235 90.00 90.00 90.00
Closest atoms and distances in Å follow each position.
Space group Pmm2 (No. 25)
One atom of each set of equivalent atoms:
Mg 0.0000 0.0000 0.0000 x1  3 In 3.04-3.06
In 0.0000 0.0000 0.3284 x1  1 Mg 3.06, 2 In 3.07
In 0.0000 0.5000 0.4995 x1  3 In 3.07-3.12
In 0.0000 0.5000 0.8338 x1  2 Mg 3.04, 1 In 3.12
Pb 0.5000 0.0000 0.6778 x1  2 Pb 3.46, 10 In 3.46-3.69, 2 Mg 3.47
Pb 0.5000 0.5000 0.1548 x1  4 Mg 3.45, 8 In 3.46-3.65, 2 Pb 3.46


Most stable one: 1), least stable one: 2).


1) The following is a GGA-PBE calculation of crystalline MgIn4Pb2 at its relaxed geometry, from the Alexandria database.

Density of states at the Fermi level = 10.07 states/eV/cell

Lattice parameters (Å, degrees): 5.4553 5.4553 15.4597 90.00 90.00 90.00
Closest atoms and distances in Å follow each position.
Space group I4/mmm (No. 139)
One atom of each set of equivalent atoms:
Mg 0.0000 0.0000 0.0000 x2  4 In 2.73, 2 Pb 2.95
In 0.0000 0.0000 0.3858 x4  1 Pb 3.02, 4 In 3.25
In 0.0000 0.5000 0.0000 x4  2 Mg 2.73
Pb 0.0000 0.0000 0.1906 x4  1 Mg 2.95, 1 In 3.02


2) The following is a GGA-PBE calculation of crystalline MgIn4Pb2 at its relaxed geometry, from the Alexandria database.

Density of states at the Fermi level = 5.39 states/eV/cell

Lattice parameters (Å, degrees): 3.6145 25.0388 4.4550 90.00 90.00 90.00
Closest atoms and distances in Å follow each position.
Space group Cmmm (No. 65)
One atom of each set of equivalent atoms:
Mg 0.0000 0.0000 0.0000 x2  10 In 3.18-3.26
In 0.0000 0.1269 0.0000 x4  1 Mg 3.18, 4 Pb 3.29, 4 In 3.30
In 0.0000 0.4383 0.5000 x4  5 In 3.09-3.30, 1 Pb 3.25, 4 Mg 3.26
Pb 0.0000 0.3085 0.5000 x4  5 In 3.25-3.29, 4 Pb 3.44-3.61


Most stable one: 2), least stable one: 1).